# 1
Here is an optimized crystal structure of TbHo3S4 from Alexandria via LeMat-Bulk. Energies are from PBE.

Computed properties:
- Offset from the most stable computed form: 10 meV/atom
- N(E_F): 4.4 states/eV per cell
- Raw total energy: -50.64 eV/cell

The structure in CIF format:
```
data_TbHo3S4
_space_group_name_H-M_alt 'P m -3 m'
_space_group_IT_number 221
_space_group_name_Hall '-P 4 2 3'
_cell_length_a 5.509
_cell_length_b 5.509
_cell_length_c 5.509
_cell_angle_alpha 90.00
_cell_angle_beta 90.00
_cell_angle_gamma 90.00
loop_
_atom_site_label
_atom_site_fract_x
_atom_site_fract_y
_atom_site_fract_z
Tb1 0.000 0.000 0.000
Ho1 0.000 0.500 0.500
S1 0.000 0.000 0.500
S2 0.500 0.500 0.500
```

# 2
Here is an optimized crystal structure of TbHoS2 from Alexandria via LeMat-Bulk. Energies are from PBE.

Computed properties:
- Offset from the most stable computed form: 0 meV/atom
- N(E_F): 3.1 states/eV per cell
- Raw total energy: -50.88 eV/cell

The structure in CIF format:
```
data_TbHoS2
_space_group_name_H-M_alt 'C 1 2/m 1'
_space_group_IT_number 12
_cell_length_a 6.760
_cell_length_b 3.918
_cell_length_c 6.753
_cell_angle_alpha 90.00
_cell_angle_beta 109.67
_cell_angle_gamma 90.00
loop_
_space_group_symop_operation_xyz
'x,y,z'
'-x,-y,-z'
'-x,y,-z'
'x,-y,z'
'x+1/2,y+1/2,z'
'-x+1/2,-y+1/2,-z'
'-x+1/2,y+1/2,-z'
'x+1/2,-y+1/2,z'
loop_
_atom_site_label
_atom_site_fract_x
_atom_site_fract_y
_atom_site_fract_z
Tb1 0.000 0.000 0.000
Ho1 0.000 0.500 0.500
S1 0.249 0.000 0.746
```

# 3
Here is an optimized crystal structure of TbHoS2 from Alexandria via LeMat-Bulk. Energies are from PBE.

Computed properties:
- Offset from the most stable computed form: 29 meV/atom
- N(E_F): 2.0 states/eV per cell
- Raw total energy: -75.97 eV/cell

The structure in CIF format:
```
data_TbHoS2
_space_group_name_H-M_alt 'R 3 m'
_space_group_IT_number 160
_space_group_name_Hall 'R 3 -2"'
_cell_length_a 3.8283
_cell_length_b 3.8283
_cell_length_c 20.2459
_cell_angle_alpha 90.00
_cell_angle_beta 90.00
_cell_angle_gamma 120.00
loop_
_atom_site_label
_atom_site_fract_x
_atom_site_fract_y
_atom_site_fract_z
Tb1 0.0000 0.0000 0.0000
Ho1 0.0000 0.0000 0.1784
S1 0.0000 0.0000 0.5863
S2 0.0000 0.0000 0.7582
```

Number 1: raw formation energy -1.9710 eV/atom. Number 2: raw formation energy -1.9940 eV/atom. Number 3: raw formation energy -1.9654 eV/atom.